Record 1
Material: Sr4NdS5
Method: DFT, PBE
State: optimized geometry

Symmetry: I4/m
Calculated total energy: -5.30 eV/atom
Fermi-level density of states: 2.78 states/eV/cell

Cell and atoms, written as POSCAR:
```
Sr4NdS5
1.0
-2.831 4.190 -3.178
-6.409 -2.190 -2.792
-4.540 4.182 3.945
Sr Nd S
4 1 5
Cartesian
-7.316 4.154 0.757
-10.115 4.125 -2.401
-3.670 2.066 0.369
-6.469 2.037 -2.789
-0.003 0.004 -0.003
-8.708 6.304 -0.781
-8.765 2.018 -0.769
-5.021 4.173 -1.263
-5.077 -0.113 -1.251
-1.419 2.100 -1.593
```

Record 2
Material: Sr3Nd4S8
Method: DFT, PBE
State: optimized geometry

Symmetry: C2/m
Calculated total energy: -5.86 eV/atom
Fermi-level density of states: 4.18 states/eV/cell

Cell and atoms, written as POSCAR:
```
Sr3Nd4S8
1.0
-7.517 1.272 3.186
0.764 -3.814 -7.329
5.036 -5.609 3.467
Sr Nd S
3 4 8
Cartesian
-3.377 -1.271 -2.071
-1.241 -2.168 3.326
-0.859 -4.075 -0.338
-3.758 0.636 1.593
0.382 -1.907 -3.664
0.000 0.000 0.000
2.518 -2.804 1.733
-2.257 -1.591 0.628
1.804 -4.251 -4.701
-6.057 -1.010 2.229
-1.942 -3.620 -3.075
0.224 -4.530 2.399
4.340 -7.141 -2.904
3.996 -5.172 0.839
0.539 -6.559 -1.304
```

Record 3
Material: Sr4Nd3S8
Method: DFT, PBE
State: optimized geometry

Symmetry: C2/m
Calculated total energy: -5.63 eV/atom
Fermi-level density of states: 2.42 states/eV/cell

Cell and atoms, written as POSCAR:
```
Sr4Nd3S8
1.0
8.362 -0.142 -0.205
-4.100 7.283 0.147
-4.100 -2.390 6.881
Sr Nd S
4 3 8
Cartesian
4.181 -0.071 -0.102
-2.050 3.641 0.074
0.000 0.000 0.000
-2.050 -1.195 3.441
2.131 3.570 -0.029
2.131 -1.266 3.338
0.081 2.375 3.412
2.095 1.179 1.694
-4.100 4.874 1.824
-1.949 1.242 1.784
0.081 4.757 1.754
0.081 -0.007 5.070
2.110 3.508 5.040
-4.100 0.019 5.204
-1.934 3.571 5.130
```

Record 4
Material: SrNd2S4
Method: DFT, PBE
State: optimized geometry

Symmetry: I-42d
Relative energy among the computed polymorphs: 0.000 eV/atom
Fermi-level density of states: 0.00 states/eV/cell

Cell and atoms, written as POSCAR:
```
SrNd2S4
1.0
7.535 0.004 0.000
-2.517 7.102 0.000
-2.509 -3.553 6.153
Sr Nd S
2 4 8
Cartesian
-1.258 3.551 3.076
0.000 0.000 0.000
1.243 5.778 0.759
-1.247 -0.451 3.835
2.521 -0.449 5.394
2.501 2.227 2.318
-3.296 1.704 4.608
0.291 -2.244 5.553
3.959 4.567 1.532
1.541 4.860 3.676
5.218 1.016 1.545
1.556 -0.475 2.477
0.297 3.076 0.599
0.471 1.706 4.621
```

Record 5
Material: Sr2NdS4
Method: DFT, PBE
State: optimized geometry

Symmetry: Cmcm
Calculated total energy: -5.29 eV/atom
Fermi-level density of states: 2.13 states/eV/cell

Cell and atoms, written as POSCAR:
```
Sr2NdS4
1.0
4.130 0.000 0.000
-2.065 7.180 0.000
0.000 0.000 12.976
Sr Nd S
4 2 8
Cartesian
0.000 1.853 5.598
2.065 5.328 12.086
0.000 1.853 0.890
2.065 5.328 7.379
2.065 1.547 9.732
0.000 5.633 3.244
2.065 3.981 1.817
2.065 3.981 4.671
0.000 3.200 11.160
0.000 3.200 8.305
2.065 6.904 9.732
0.000 0.277 3.244
2.065 0.000 0.000
2.065 0.000 6.488
```

Record 6
Material: SrNd2S4
Method: DFT, PBE
State: optimized geometry

Symmetry: Cmcm
Relative energy among the computed polymorphs: 0.020 eV/atom

Cell and atoms, written as POSCAR:
```
SrNd2S4
1.0
4.088 0.000 0.000
-2.044 6.761 0.000
0.000 0.000 13.749
Sr Nd S
2 4 8
Cartesian
2.044 1.531 10.311
0.000 5.231 3.437
0.000 1.806 5.896
2.044 4.955 12.770
0.000 1.806 0.979
2.044 4.955 7.853
2.044 3.654 1.607
2.044 3.654 5.267
0.000 3.107 12.141
0.000 3.107 8.482
2.044 6.207 10.311
0.000 0.555 3.437
2.044 0.000 0.000
2.044 0.000 6.874
```

Record 7
Material: Sr2TbNdS4
Method: DFT, PBE
State: optimized geometry

Symmetry: P2/m
Calculated total energy: -5.70 eV/atom
Fermi-level density of states: 3.47 states/eV/cell

Cell and atoms, written as POSCAR:
```
Sr2TbNdS4
1.0
4.090 0.000 0.000
0.000 7.082 0.122
0.000 -2.477 6.803
Sr Tb Nd S
2 1 1 4
Cartesian
2.045 -1.239 3.401
0.000 2.302 3.463
0.000 0.000 0.000
2.045 3.541 0.061
2.045 1.111 1.615
2.045 3.494 5.310
0.000 -0.135 5.218
0.000 4.740 1.707
```

Record 8
Material: Sr3TbNd3S8
Method: DFT, PBE
State: optimized geometry

Symmetry: R-3m
Calculated total energy: -5.88 eV/atom
Fermi-level density of states: 4.81 states/eV/cell

Cell and atoms, written as POSCAR:
```
Sr3TbNd3S8
1.0
-1.705 7.471 2.941
-3.404 -2.518 -7.032
-2.517 -3.422 7.234
Sr Tb Nd S
3 1 3 8
Cartesian
0.000 0.000 0.000
-1.702 -1.259 -3.516
-2.554 2.477 -2.045
-1.258 -1.711 3.617
-2.111 2.025 5.087
-3.813 0.766 1.572
-2.960 -2.970 0.101
-2.810 -0.272 -0.937
-4.815 1.804 4.080
-3.773 3.444 0.518
-3.853 -1.913 2.625
-2.017 4.742 4.144
-5.608 -3.211 -1.001
-1.138 0.889 2.628
-6.487 0.642 0.515
```

Record 9
Material: SrTb2NdS4
Method: DFT, PBE
State: optimized geometry

Symmetry: P2/m
Calculated total energy: -6.05 eV/atom
Fermi-level density of states: 2.84 states/eV/cell

Cell and atoms, written as POSCAR:
```
SrTb2NdS4
1.0
4.008 0.000 0.000
0.000 7.011 -0.167
0.000 2.440 6.562
Sr Tb Nd S
1 2 1 4
Cartesian
2.004 5.946 6.478
0.000 2.440 6.562
2.004 1.220 3.281
0.000 4.726 3.197
0.000 7.187 4.742
4.008 2.264 1.652
2.004 5.960 1.490
2.004 3.491 4.904
```

Record 10
Material: SrNdTm4S8
Method: DFT, PBE
State: optimized geometry

Symmetry: R3m
Calculated total energy: -6.07 eV/atom
Fermi-level density of states: 3.60 states/eV/cell

Cell and atoms, written as POSCAR:
```
SrNdTm4S8
1.0
-7.789 1.330 -1.685
-5.043 -6.236 -0.982
-5.683 -1.534 5.688
Sr Nd Tm S
1 1 4 8
Cartesian
-9.793 -3.182 4.018
-5.675 -1.535 5.653
-8.729 -3.258 -0.963
-5.360 -3.852 2.367
-6.714 -0.123 2.020
-2.875 -0.779 2.851
-9.989 -5.718 2.921
-11.494 -1.573 2.536
-7.226 -2.302 3.459
-4.694 -1.605 1.060
-8.535 -0.861 0.035
-7.113 -4.779 0.399
-11.147 -4.091 -0.473
-13.854 -4.833 2.114
```

Record 11
Material: Sr3Nd3YS8
Method: DFT, PBE
State: optimized geometry

Symmetry: R-3m
Calculated total energy: -6.00 eV/atom
Fermi-level density of states: 4.82 states/eV/cell

Cell and atoms, written as POSCAR:
```
Sr3Nd3YS8
1.0
8.202 0.000 0.000
-4.101 7.103 -0.025
0.000 -4.711 6.937
Sr Nd Y S
3 3 1 8
Cartesian
0.000 0.000 0.000
-2.051 3.552 -0.013
2.050 3.552 -0.013
4.101 -2.356 3.469
2.050 1.196 3.456
-2.051 1.196 3.456
0.000 -2.355 3.469
0.000 2.374 1.790
4.101 0.018 5.122
4.101 2.453 1.877
0.000 -0.061 5.035
6.220 -1.217 1.890
-2.119 3.609 5.022
1.982 -1.217 1.890
2.119 3.609 5.022
```

Record 12
Material: SrNdY4S8
Method: DFT, PBE
State: optimized geometry

Symmetry: R3m
Calculated total energy: -6.66 eV/atom
Fermi-level density of states: 3.78 states/eV/cell

Cell and atoms, written as POSCAR:
```
SrNdY4S8
1.0
-0.467 7.495 3.268
-6.700 4.563 -1.162
-5.142 1.404 6.307
Sr Nd Y S
1 1 4 8
Cartesian
-7.197 5.741 6.328
-5.128 1.417 6.278
-5.120 7.714 2.100
-5.897 2.975 2.595
-2.823 4.421 4.780
-2.592 0.725 3.168
-9.146 6.434 4.458
-5.726 8.043 6.888
-5.470 3.931 5.095
-3.196 3.252 2.345
-3.256 7.061 3.863
-6.512 5.529 1.549
-6.757 9.445 3.257
-9.168 10.157 6.178
```

Record 13
Material: Sr2NdYS4
Method: DFT, PBE
State: optimized geometry

Symmetry: P2/m
Calculated total energy: -5.93 eV/atom
Fermi-level density of states: 3.56 states/eV/cell

Cell and atoms, written as POSCAR:
```
Sr2NdYS4
1.0
4.088 0.000 0.000
0.000 7.080 0.123
0.000 -2.476 6.799
Sr Nd Y S
2 1 1 4
Cartesian
2.044 -1.238 3.400
0.000 2.302 3.461
2.044 3.540 0.061
0.000 0.000 0.000
2.044 1.109 1.612
2.044 3.496 5.310
0.000 -0.137 5.216
0.000 4.741 1.706
```

Record 14
Material: NdTaS2
Method: DFT, PBE
State: optimized geometry

Symmetry: R-3m
Calculated total energy: -7.02 eV/atom
Fermi-level density of states: 3.75 states/eV/cell

Cell and atoms, written as POSCAR:
```
NdTaS2
1.0
-0.187 -3.161 1.295
2.489 -1.164 2.037
-3.545 1.711 8.182
S Nd Ta
2 1 1
Cartesian
-2.143 0.686 5.883
0.900 -3.300 5.631
0.000 0.000 0.000
-0.621 -1.307 5.757
```

Record 15
Material: Nd5Ta2S12
Method: DFT, PBE
State: optimized geometry

Symmetry: C2/m
Calculated total energy: -6.79 eV/atom
Fermi-level density of states: 2.38 states/eV/cell

Cell and atoms, written as POSCAR:
```
Nd5Ta2S12
1.0
-4.560 -5.433 0.076
6.962 -1.146 4.804
-5.689 4.846 5.070
Nd Ta S
5 2 12
Cartesian
-0.866 0.813 6.150
1.976 -1.604 3.887
-2.845 2.423 2.535
-5.263 -0.129 6.062
-2.420 -2.546 3.800
-3.453 -4.114 0.057
-1.107 -1.319 0.018
1.312 -5.651 5.813
-0.958 3.181 7.879
-3.191 0.521 7.916
1.967 0.724 5.554
-0.295 -1.971 5.592
0.082 0.055 8.880
-3.369 -1.788 1.069
-5.254 -2.457 4.395
-2.992 0.238 4.357
-2.329 -4.915 2.071
-0.096 -2.254 2.034
-4.599 3.918 4.136
```

Record 16
Material: Nd3TaS6
Method: DFT, PBE
State: optimized geometry

Symmetry: Cmc2_1
Calculated total energy: -6.72 eV/atom
Fermi-level density of states: 11.56 states/eV/cell

Cell and atoms, written as POSCAR:
```
Nd3TaS6
1.0
-3.875 5.358 0.992
-5.956 -3.286 -5.519
-2.709 -3.369 7.618
Nd Ta S
6 2 12
Cartesian
-9.276 -2.894 1.000
-10.620 -0.230 3.897
-5.543 -1.230 2.703
-8.105 1.466 0.672
-5.041 4.054 2.546
-3.697 1.391 -0.351
-3.416 -3.213 5.193
-7.389 -0.482 -2.546
-6.544 -3.385 1.179
-8.287 -0.711 2.461
-5.676 -3.420 4.709
-9.163 -0.701 -1.067
-3.474 -2.426 7.451
-6.072 0.311 5.403
-5.952 -2.322 -2.444
-8.490 0.333 -4.507
-2.885 -1.276 4.033
-6.373 1.443 -1.743
-3.770 -1.254 0.507
-5.513 1.420 1.789
```

Record 17
Material: NdTaS3
Method: DFT, PBE
State: optimized geometry

Symmetry: C2/m
Relative energy among the computed polymorphs: 0.072 eV/atom
Fermi-level density of states: 4.62 states/eV/cell

Cell and atoms, written as POSCAR:
```
NdTaS3
1.0
-3.189 -1.182 -0.839
-0.974 -2.334 6.994
-1.429 8.311 1.040
Nd Ta S
2 2 6
Cartesian
-4.241 2.302 5.566
-1.352 2.493 1.629
-2.663 -0.655 3.736
-2.929 5.450 3.460
-5.126 5.151 4.917
-0.467 -0.356 2.278
-2.240 5.315 1.029
-3.353 -0.520 6.166
-1.708 1.567 4.287
-3.885 3.228 2.908
```

Record 18
Material: NdTaS3
Method: DFT, PBE
State: optimized geometry

Symmetry: P-1
Relative energy among the computed polymorphs: 0.000 eV/atom
Fermi-level density of states: 2.50 states/eV/cell

Cell and atoms, written as POSCAR:
```
NdTaS3
1.0
-1.269 -3.059 1.194
2.887 -2.844 -4.208
9.122 0.305 5.307
Nd Ta S
2 2 6
Cartesian
4.270 -2.082 -1.947
7.868 -2.604 5.729
5.173 -2.518 3.083
6.966 -2.168 0.700
7.995 -4.410 1.243
4.683 -3.228 0.749
1.664 -3.189 -2.363
7.455 -1.458 3.034
1.353 -1.802 0.839
4.143 -0.276 2.540
```

Record 19
Material: NdTa4S8
Method: DFT, PBE
State: optimized geometry

Symmetry: R-3m
Calculated total energy: -7.71 eV/atom
Fermi-level density of states: 5.58 states/eV/cell

Cell and atoms, written as POSCAR:
```
NdTa4S8
1.0
6.004 0.000 -3.239
-3.876 5.614 0.000
0.389 0.269 7.904
Nd Ta S
1 4 8
Cartesian
-1.743 2.942 3.952
0.000 0.000 0.000
4.455 3.076 4.665
1.064 2.807 -1.620
3.002 0.000 -1.620
0.105 4.217 0.194
2.412 1.665 4.471
2.014 1.390 0.246
-0.593 1.603 6.086
0.503 4.492 4.418
-2.587 4.493 6.085
5.104 1.390 -1.421
3.110 4.280 -1.421
```

Record 20
Material: Nd2TaS6
Method: DFT, PBE
State: optimized geometry

Symmetry: P4_2/mnm
Calculated total energy: -6.40 eV/atom
Fermi-level density of states: 13.32 states/eV/cell

Cell and atoms, written as POSCAR:
```
Nd2TaS6
1.0
6.331 0.000 0.000
0.000 6.331 0.000
0.000 0.000 12.103
Nd Ta S
4 2 12
Cartesian
0.000 0.000 3.977
3.166 3.166 10.028
3.166 3.166 2.075
0.000 0.000 8.126
0.000 0.000 0.000
3.166 3.166 6.051
1.965 1.965 4.311
4.366 4.366 4.311
1.201 5.130 10.362
5.130 1.201 10.362
1.201 5.130 1.741
5.130 1.201 1.741
1.965 1.965 7.792
4.366 4.366 7.792
1.758 1.758 0.000
4.573 4.573 0.000
1.408 4.923 6.051
4.923 1.408 6.051
```